Entry 1:
Here is crystalline Er2Ge3Os at its relaxed geometry from Alexandria. Energies are from PBE-GGA.

abc: 4.3921 5.5800 5.7869
angles: 75.19 67.70 66.82
Fractional coordinates of all 6 atoms:
Er1 0.5456 0.1971 0.7117
Er2 0.4337 0.8131 0.3196
Ge1 0.8716 0.5940 0.6627
Ge2 0.8094 0.2615 0.1197
Ge3 0.1707 0.7511 0.9075
Os1 0.1690 0.3833 0.2788

Computed properties:
Polymorph energy (0 for the lowest one)   0 meV per atom
Space-group type   Cm



Entry 2:
Here is crystalline CaIn2P at its relaxed geometry from Alexandria. Energies are from PBE-GGA.

abc: 3.7154 3.7154 7.0365
angles: 90.00 90.00 90.00
Fractional coordinates of all 4 atoms:
Ca1 0.5000 0.5000 0.7500
In1 0.0000 0.0000 0.0472
In2 0.0000 0.0000 0.4528
P1 0.5000 0.5000 0.2500

Computed properties:
Space-group type   P4/mmm



Entry 3:
Here is crystalline Ho2Tm2Ga4Pd at its relaxed geometry from Alexandria. Energies are from PBE-GGA.

abc: 6.5264 6.5263 6.5263
angles: 99.00 114.95 114.95
Fractional coordinates of all 9 atoms:
Ho1 0.0000 0.6901 0.6901
Ho2 0.0000 0.3099 0.3099
Tm1 0.5000 0.7500 0.2500
Tm2 0.5000 0.2500 0.7500
Ga1 0.0000 0.7502 0.2498
Ga2 0.5005 0.7502 0.7502
Ga3 0.0000 0.2498 0.7502
Ga4 0.4995 0.2498 0.2498
Pd1 0.0000 0.0000 0.0000

Computed properties:
Space-group type   I4/mmm



Entry 4:
Here is crystalline TlIr5 at its relaxed geometry from Alexandria. Energies are from PBE-GGA.

abc: 2.8102 2.8102 11.9981
angles: 90.00 90.00 90.00
Fractional coordinates of all 6 atoms:
Tl1 0.5000 0.5000 0.0000
Ir1 0.0000 0.0000 0.8125
Ir2 0.0000 0.0000 0.1875
Ir3 0.5000 0.5000 0.6589
Ir4 0.5000 0.5000 0.3411
Ir5 0.0000 0.0000 0.5000

Computed properties:
Space-group type   P4/mmm



Entry 5:
Here is crystalline CuB2AsCl at its relaxed geometry from Alexandria. Energies are from PBE-GGA.

abc: 3.8249 5.8149 3.8249
angles: 90.00 90.00 90.00
Fractional coordinates of all 5 atoms:
As1 0.5000 0.5000 0.5000
B1 0.0000 0.0000 0.5000
B2 0.5000 0.0000 0.0000
Cu1 0.0000 0.0000 0.0000
Cl1 0.0000 0.5000 0.0000

Computed properties:
Formation energy without anion corrections   119.38 kJ per mole of atoms
Space-group type   P4/mmm



Entry 6:
Here is crystalline ReB2Os2 at its relaxed geometry from Alexandria. Energies are from PBE-GGA.

abc: 6.3302 6.3302 2.7818
angles: 90.00 90.00 90.00
Fractional coordinates of all 10 atoms:
Re1 0.0000 0.0000 0.0000
Re2 0.5000 0.5000 0.0000
B1 0.3473 0.8473 0.0000
B2 0.8473 0.6527 0.0000
B3 0.6527 0.1527 0.0000
B4 0.1527 0.3473 0.0000
Os1 0.1490 0.6490 0.5000
Os2 0.6490 0.8510 0.5000
Os3 0.8510 0.3510 0.5000
Os4 0.3510 0.1490 0.5000

Computed properties:
Polymorph energy (0 for the lowest one)   0 meV per atom
Space-group type   P4/mbm



Number 1: size of the total moment 0.0 μB/f.u., calculated total energy -6.25 eV/atom. Number 2: size of the total moment 0.0 μB/f.u., calculated total energy -3.37 eV/atom. Number 3: size of the total moment 0.0 μB/f.u., calculated total energy -4.33 eV/atom. Number 4: size of the total moment 0.0 μB/f.u., calculated total energy -7.47 eV/atom. Number 5: size of the total moment 0.0 μB/f.u., calculated total energy -3.55 eV/atom. Number 6: size of the total moment 0.0 μB/f.u., calculated total energy -9.49 eV/atom.